The following is a DFT calculation (PBE-GGA) of a relaxed structure of Y5Er12In2.

POSCAR file:
```
Y5Er12In2
1.0
7.6998 -4.5792 0.0000
7.6998 4.5792 0.0000
-0.2044 0.0000 8.2749
Y Er In
5 12 2
direct
0.0000 0.0000 0.0000
0.2360 0.2360 0.0793
0.3096 0.3096 0.4962
0.6904 0.6904 0.5038
0.7640 0.7640 0.9207
0.0361 0.6648 0.2606
0.0861 0.0861 0.3886
0.1785 0.5719 0.8395
0.3352 0.9639 0.7394
0.4281 0.8215 0.1605
0.4477 0.4477 0.1744
0.5523 0.5523 0.8256
0.5719 0.1785 0.8395
0.6648 0.0361 0.2606
0.8215 0.4281 0.1605
0.9139 0.9139 0.6114
0.9639 0.3352 0.7394
0.3184 0.6816 0.5000
0.6816 0.3184 0.5000
```

V   583.5 Å³/f.u.
Electronic total energy   -4.8788 eV/atom
Density   7.6 g cm⁻³
Formation energy   -0.008 eV/atom
DOS(E_F)   1.49 states/eV/atom


The following is a DFT calculation (PBE-GGA) of a relaxed structure of PmBiSeO2.

POSCAR file:
```
PmBiSeO2
1.0
6.7576 0.0000 0.0000
0.0000 4.0806 0.0000
-2.3176 0.0000 7.4838
Pm Bi Se O
2 2 2 4
direct
0.1819 0.2500 0.4167
0.8181 0.7500 0.5833
0.1942 0.2500 0.9344
0.8058 0.7500 0.0656
0.4444 0.7500 0.2528
0.5556 0.2500 0.7472
0.0012 0.2500 0.6279
0.0208 0.7500 0.8842
0.9792 0.2500 0.1158
0.9988 0.7500 0.3721
```

V   103.2 Å³/f.u.
Electronic total energy   -6.3972 eV/atom
Density   7.5 g cm⁻³
DOS(E_F)   0.00 states/eV/atom
E_form (uncorrected)   -1.99 eV/atom


The following is a DFT calculation (PBE-GGA) of a relaxed structure of Y8SiP3Se4.

POSCAR file:
```
Y8SiP3Se4
1.0
4.0535 2.3403 6.7211
-4.0535 2.3403 6.7211
0.0000 -4.6805 6.7211
Y Si P Se
8 1 3 4
direct
0.2427 0.2427 0.2427
0.2436 0.7437 0.7437
0.2563 0.2563 0.7564
0.2563 0.7564 0.2563
0.7437 0.2436 0.7437
0.7437 0.7437 0.2436
0.7564 0.2563 0.2563
0.7573 0.7573 0.7573
0.5000 0.5000 0.5000
0.0000 0.0000 0.5000
0.0000 0.5000 0.0000
0.5000 0.0000 0.0000
0.0000 0.0000 0.0000
0.0000 0.5000 0.5000
0.5000 0.0000 0.5000
0.5000 0.5000 0.0000
```

V   382.5 Å³/f.u.
Electronic total energy   -7.1483 eV/atom
Density   5.0 g cm⁻³
DOS(E_F)   0.29 states/eV/atom
E_form (uncorrected)   -1.69 eV/atom


The following is a DFT calculation (PBE-GGA) of a relaxed structure of SrAl6Cu3.

POSCAR file:
```
SrAl6Cu3
1.0
9.6200 0.0000 0.0000
0.0000 4.0411 0.0000
-1.1788 0.0000 9.6647
Sr Al Cu
2 12 6
direct
0.0438 0.2500 0.2125
0.9562 0.7500 0.7875
0.1323 0.7500 0.4812
0.1845 0.2500 0.9312
0.2004 0.2500 0.6575
0.3882 0.2500 0.1933
0.4276 0.7500 0.5630
0.4460 0.2500 0.8921
0.5540 0.7500 0.1079
0.5724 0.2500 0.4370
0.6118 0.7500 0.8067
0.7996 0.7500 0.3425
0.8155 0.7500 0.0688
0.8677 0.2500 0.5188
0.3035 0.7500 0.0413
0.3097 0.2500 0.4348
0.3159 0.7500 0.7837
0.6841 0.2500 0.2163
0.6903 0.7500 0.5652
0.6965 0.2500 0.9587
```

V   187.9 Å³/f.u.
Electronic total energy   -3.7174 eV/atom
Density   3.9 g cm⁻³
Formation energy   -0.075 eV/atom
DOS(E_F)   0.35 states/eV/atom


The following is a DFT calculation (PBE-GGA) of a relaxed structure of Na2IrC.

POSCAR file:
```
Na2IrC
1.0
10.3131 0.0000 0.0000
0.0000 10.3131 0.0000
0.0000 0.0000 3.8199
Na Ir C
8 4 4
direct
0.0034 0.2500 0.1250
0.2500 0.5034 0.3750
0.2500 0.9966 0.8750
0.4966 0.2500 0.6250
0.5034 0.7500 0.6250
0.7500 0.0034 0.8750
0.7500 0.4966 0.3750
0.9966 0.7500 0.1250
0.0000 0.0000 0.5000
0.0000 0.5000 0.7500
0.5000 0.0000 0.2500
0.5000 0.5000 0.0000
0.0000 0.0000 0.0000
0.0000 0.5000 0.2500
0.5000 0.0000 0.7500
0.5000 0.5000 0.5000
```

V   101.6 Å³/f.u.
Electronic total energy   -4.8063 eV/atom
Density   4.1 g cm⁻³
Formation energy   0.374 eV/atom
DOS(E_F)   0.42 states/eV/atom


The following is a DFT calculation (PBE-GGA) of a relaxed structure of Zn2TcTe.

POSCAR file:
```
Zn2TcTe
1.0
3.2638 0.0000 0.0000
-1.6319 2.8265 0.0000
0.0000 0.0000 25.1415
Zn Tc Te
6 3 3
direct
0.0000 0.0000 0.0000
0.0000 0.0000 0.2566
0.3333 0.6667 0.6667
0.3333 0.6667 0.9233
0.6667 0.3333 0.3333
0.6667 0.3333 0.5900
0.0000 0.0000 0.7444
0.3333 0.6667 0.4111
0.6667 0.3333 0.0777
0.0000 0.0000 0.4835
0.3333 0.6667 0.1502
0.6667 0.3333 0.8168
```

V   77.3 Å³/f.u.
Electronic total energy   -3.7810 eV/atom
Density   7.7 g cm⁻³
DOS(E_F)   0.55 states/eV/atom
E_form (uncorrected)   0.23 eV/atom


The following is a DFT calculation (PBE-GGA) of a relaxed structure of NdCuHgRh.

POSCAR file:
```
NdCuHgRh
1.0
6.8235 0.0000 0.0000
0.0000 6.8235 0.0000
0.0000 0.0000 6.8235
Nd Cu Hg Rh
4 4 4 4
direct
0.0000 0.0000 0.0000
0.0000 0.5000 0.5000
0.5000 0.0000 0.5000
0.5000 0.5000 0.0000
0.2500 0.2500 0.7500
0.2500 0.7500 0.2500
0.7500 0.2500 0.2500
0.7500 0.7500 0.7500
0.0000 0.0000 0.5000
0.0000 0.5000 0.0000
0.5000 0.0000 0.0000
0.5000 0.5000 0.5000
0.2500 0.2500 0.2500
0.2500 0.7500 0.7500
0.7500 0.2500 0.7500
0.7500 0.7500 0.2500
```

V   79.4 Å³/f.u.
Electronic total energy   -4.3635 eV/atom
Density   10.7 g cm⁻³
Formation energy   -0.234 eV/atom
DOS(E_F)   0.66 states/eV/atom


The following is a DFT calculation (PBE-GGA) of a relaxed structure of Sm5NpP6.

POSCAR file:
```
Sm5NpP6
1.0
3.5317 -6.1165 0.0000
3.5317 6.1165 0.0000
-2.3529 0.0000 6.6581
Sm Np P
5 1 6
direct
0.0000 0.0000 0.0000
0.1662 0.8338 0.5000
0.3315 0.6685 0.0000
0.6685 0.3315 0.0000
0.8338 0.1662 0.5000
0.5000 0.5000 0.5000
0.0942 0.4185 0.2551
0.2577 0.2577 0.7444
0.4185 0.0942 0.2551
0.5815 0.9058 0.7449
0.7423 0.7423 0.2556
0.9058 0.5815 0.7449
```

V   287.7 Å³/f.u.
Electronic total energy   -7.1993 eV/atom
Density   6.8 g cm⁻³
Formation energy   -1.450 eV/atom
DOS(E_F)   1.01 states/eV/atom


Question: Among the records above, which one has the highest DOS(E_F)?
Answer: Y5Er12In2